No. 1
## FePd3Se (GGA-PBE)

Data for FePd3Se after structural relaxation.

Cell and atoms, written as extended XYZ:
```
5
Lattice="4.646 0.000 0.000 0.000 4.646 0.000 0.000 0.000 4.646" Properties=species:S:1:pos:R:3 pbc="T T T"
Pd 0.000 2.323 0.000
Pd 2.323 0.000 0.000
Pd 0.000 0.000 2.323
Fe 2.323 2.323 2.323
Se 0.000 0.000 0.000
```

Properties
Offset from the most stable computed form ... 0.000 eV/atom
Formation energy without anion corrections ... 0.508 eV/atom
VASP energy ... -24.99 eV per cell
Theoretical density ... 7.518 g cm⁻³


No. 2
## LaGdRuRh (GGA-PBE)

Data for LaGdRuRh after structural relaxation.

Cell and atoms, written as extended XYZ:
```
4
Lattice="-1.379 -4.727 -0.643 3.325 -3.376 -1.486 1.570 -3.496 3.158" Properties=species:S:1:pos:R:3 pbc="T T T"
La 1.758 -5.800 0.515
Gd 0.000 0.000 0.000
Ru 2.637 -8.700 0.772
Rh 0.879 -2.900 0.257
```

Properties
Energy relative to the elements ... -1.725 eV per formula unit
VASP energy ... -37.36 eV per cell
Theoretical density ... 9.589 g cm⁻³


No. 3
## Tl12Pt3F5 (GGA-PBE)

Data for Tl12Pt3F5 after structural relaxation.

Cell and atoms, written as extended XYZ:
```
80
Lattice="-8.403 -11.372 -0.677 9.776 -0.742 -10.211 6.387 0.403 12.627" Properties=species:S:1:pos:R:3 pbc="T T T"
F -0.917 -9.885 4.747
F 4.888 -0.371 -5.106
F -1.008 -5.485 5.975
F 0.687 -6.057 -5.444
F 3.548 -10.112 2.496
F 8.082 -0.169 1.208
F 0.000 0.000 0.000
F 7.669 -7.312 2.967
F 0.508 -8.270 9.264
F 3.880 -5.856 0.869
F 4.212 -1.599 -0.757
F -4.201 -5.686 -0.339
F 8.677 -1.827 -3.008
F 7.252 -3.442 -7.526
F 3.193 0.201 6.314
F 2.861 -4.055 7.940
F 4.899 -7.656 -6.201
F 0.091 -4.400 -1.228
F 5.557 -2.870 3.893
F 2.203 -8.842 -2.155
Tl 9.391 -1.848 -0.544
Tl 3.968 -1.747 8.104
Tl 5.373 -10.706 0.794
Tl 3.849 -4.713 3.378
Tl -0.920 -4.580 3.372
Tl 3.910 -10.756 -2.160
Tl 3.338 -5.625 -6.065
Tl -4.435 -8.267 -1.282
Tl 0.779 -8.549 -4.268
Tl 0.224 -7.588 4.685
Tl 1.590 -4.584 5.775
Tl -3.480 -7.166 1.873
Tl 11.240 -4.546 -0.135
Tl -1.580 -6.320 -0.911
Tl 9.340 -5.392 2.649
Tl 5.281 -2.964 -5.955
Tl -1.302 -10.078 9.440
Tl 3.492 -1.806 -3.210
Tl -1.151 -11.214 -4.466
Tl 9.063 -1.633 -7.702
Tl 3.911 -6.999 -1.640
Tl 10.528 -1.494 -4.752
Tl 1.336 -4.797 0.979
Tl -2.655 -11.005 -0.836
Tl 4.422 -6.086 7.804
Tl 8.680 -7.131 -1.633
Tl 2.387 -1.005 0.945
Tl 7.548 -2.648 2.291
Tl 2.260 -10.056 -9.282
Tl -2.768 -10.217 6.491
Tl 6.170 -7.127 -4.037
Tl 7.537 -4.124 -2.947
Tl 2.537 -7.760 2.343
Tl 6.982 -3.162 6.006
Tl 5.501 -1.656 11.021
Tl 12.195 -3.445 3.020
Tl 6.265 -7.288 5.114
Tl 8.911 -0.497 6.204
Tl 2.479 -8.747 7.694
Tl 5.223 -3.952 -0.605
Tl 1.495 -4.423 -3.375
Tl 10.416 -0.706 2.574
Tl 3.792 -9.964 -6.365
Tl -1.631 -9.864 2.283
Tl 4.268 -9.905 4.949
Tl 6.424 -6.914 0.760
Tl 3.850 -0.955 3.898
Tl 0.213 -9.063 -0.552
Pt 3.204 -7.084 5.218
Pt 1.516 -2.785 3.289
Pt -1.838 -8.757 -2.759
Pt 6.244 -8.927 -1.551
Pt 4.556 -4.628 -3.479
Pt 8.173 -4.569 -0.020
Pt 12.294 -1.768 0.451
Pt 0.778 -10.457 -6.673
Pt -0.413 -7.142 1.759
Pt -4.534 -9.943 1.288
Pt 9.598 -2.954 4.497
Pt 6.982 -1.255 8.411
```

Properties
Formation energy without anion corrections ... -0.747 eV/atom
VASP energy ... -283.22 eV per cell
Theoretical density ... 9.529 g cm⁻³


No. 4
## MnAuSeBr2 (GGA-PBE)

Data for MnAuSeBr2 after structural relaxation.

Cell and atoms, written as extended XYZ:
```
5
Lattice="-3.550 2.665 -2.608 -3.719 -2.266 2.746 0.285 3.930 3.629" Properties=species:S:1:pos:R:3 pbc="T T T"
Br -1.859 -1.133 1.373
Br -1.775 1.332 -1.304
Se 0.142 1.965 1.814
Au 0.000 0.000 0.000
Mn -3.492 2.164 1.884
```

Properties
Formation energy without anion corrections ... 0.413 eV/atom
VASP energy ... -17.21 eV per cell
Theoretical density ... 5.738 g cm⁻³


These records have total moment values of 3.7, 7.0, 0.0, 5.3 μB/cell, in the order they appear.